Record 1
The following is a DFT calculation (meta-GGA SCAN) of a crystal of KTl2Au relaxed with PBEsol.

Structure (POSCAR):
```
KTl2Au
1.0
3.809 0.000 0.000
0.000 3.809 0.000
0.000 0.000 7.811
K Tl Au
1 2 1
Cartesian
0.000 0.000 0.000 K
0.000 0.000 4.402 Tl
1.904 1.904 2.488 Tl
1.904 1.904 5.598 Au
```

Calculated values
- formation energy (meV per atom) = -138
- calculated total energy (eV/atom) = -55.6886
- SG = P4mm, No. 99



Record 2
The following is a DFT calculation (meta-GGA SCAN) of a crystal of RbGa3Sb relaxed with PBEsol.

Structure (POSCAR):
```
RbGa3Sb
1.0
5.594 0.000 0.000
0.000 5.594 0.000
0.000 0.000 5.594
Rb Ga Sb
1 3 1
Cartesian
0.000 0.000 0.000 Rb
0.000 0.000 2.797 Ga
0.000 2.797 0.000 Ga
2.797 0.000 0.000 Ga
2.797 2.797 2.797 Sb
```

Calculated values
- uncorrected formation energy (kJ per mole of atoms) = 124.86
- calculated total energy (eV/atom) = -20.1137
- SG = Pm-3m, No. 221



Record 3
The following is a DFT calculation (meta-GGA SCAN) of a crystal of TmBi relaxed with PBEsol.

Structure (POSCAR):
```
TmBi
1.0
0.000 3.082 3.082
3.082 0.000 3.082
3.082 3.082 0.000
Tm Bi
1 1
Cartesian
0.000 0.000 0.000 Tm
3.082 3.082 3.082 Bi
```

Calculated values
- formation energy (meV per atom) = -911
- calculated total energy (eV/atom) = -66.1164
- SG = Fm-3m, No. 225



Record 4
The following is a DFT calculation (meta-GGA SCAN) of a crystal of BaCoCl relaxed with PBEsol.

Structure (POSCAR):
```
BaCoCl
1.0
0.000 3.208 3.208
3.208 0.000 3.208
3.208 3.208 0.000
Ba Co Cl
1 1 1
Cartesian
0.000 0.000 0.000 Ba
4.812 4.812 4.812 Co
3.208 3.208 3.208 Cl
```

Calculated values
- uncorrected formation energy (kJ per mole of atoms) = 23.86
- offset from the most stable computed form (eV per formula unit) = 1.52
- calculated total energy (eV/atom) = -21.3635
- SG = F-43m, No. 216



Record 5
The following is a DFT calculation (meta-GGA SCAN) of a crystal of BaCaAg4 relaxed with PBEsol.

Structure (POSCAR):
```
BaCaAg4
1.0
0.000 4.099 4.099
4.099 0.000 4.099
4.099 4.099 0.000
Ba Ca Ag
1 1 4
Cartesian
0.000 0.000 0.000 Ba
6.148 6.148 6.148 Ca
3.087 3.087 3.087 Ag
5.111 5.111 3.087 Ag
5.111 3.087 5.111 Ag
3.087 5.111 5.111 Ag
```

Calculated values
- formation energy (meV per atom) = -171
- calculated total energy (eV/atom) = -29.2850
- SG = F-43m, No. 216



Record 6
The following is a DFT calculation (meta-GGA SCAN) of a crystal of Al2Zn3 relaxed with PBEsol.

Structure (POSCAR):
```
Al2Zn3
1.0
1.407 0.812 10.926
-1.407 0.812 10.926
0.000 -1.625 10.926
Al Zn
2 3
Cartesian
0.000 0.000 3.264 Al
0.000 0.000 29.515 Al
0.000 0.000 9.869 Zn
0.000 0.000 16.390 Zn
0.000 0.000 22.911 Zn
```

Calculated values
- formation energy (meV per atom) = 4
- calculated total energy (eV/atom) = -11.2056
- SG = R-3m, No. 166



Record 7
The following is a DFT calculation (meta-GGA SCAN) of a crystal of SiHg2Ru relaxed with PBEsol.

Structure (POSCAR):
```
SiHg2Ru
1.0
3.607 0.000 0.000
0.000 3.607 0.000
0.000 0.000 5.317
Si Hg Ru
1 2 1
Cartesian
0.000 0.000 0.000 Si
1.804 1.804 1.333 Hg
1.804 1.804 3.985 Hg
0.000 0.000 2.659 Ru
```

Calculated values
- uncorrected formation energy (kJ per mole of atoms) = 57.13
- calculated total energy (eV/atom) = -44.7013
- SG = P4/mmm, No. 123



Record 8
The following is a DFT calculation (meta-GGA SCAN) of a crystal of Cs2ReO4 relaxed with PBEsol.

Structure (POSCAR):
```
Cs2ReO4
1.0
8.484 0.000 0.000
0.000 6.477 0.000
0.000 0.000 11.512
Cs Re O
8 4 16
Cartesian
8.481 1.619 2.428 Cs
0.003 4.857 9.083 Cs
1.400 1.619 6.717 Cs
2.842 4.857 0.961 Cs
4.239 1.619 3.327 Cs
4.244 4.857 8.184 Cs
5.642 1.619 10.551 Cs
7.084 4.857 4.795 Cs
1.843 1.619 10.584 Re
2.399 4.857 4.828 Re
6.085 1.619 6.683 Re
6.640 4.857 0.927 Re
0.102 1.619 10.181 O
1.683 4.857 6.482 O
1.844 3.276 4.195 O
1.844 6.439 4.195 O
2.398 0.037 9.951 O
2.398 3.201 9.951 O
2.559 1.619 0.726 O
4.140 4.857 4.425 O
4.344 1.619 7.086 O
5.925 4.857 10.785 O
6.086 3.276 1.561 O
6.086 6.439 1.561 O
6.640 0.037 7.317 O
6.640 3.201 7.317 O
6.801 1.619 5.030 O
8.382 4.857 1.330 O
```

Calculated values
- uncorrected formation energy (kJ per mole of atoms) = -182.98
- calculated total energy (eV/atom) = -26.4170
- SG = Pnma, No. 62



Record 9
The following is a DFT calculation (meta-GGA SCAN) of a crystal of Y2TiPt relaxed with PBEsol.

Structure (POSCAR):
```
Y2TiPt
1.0
0.000 3.493 3.493
3.493 0.000 3.493
3.493 3.493 0.000
Y Ti Pt
2 1 1
Cartesian
1.746 1.746 1.746 Y
5.239 5.239 5.239 Y
0.000 0.000 0.000 Ti
3.493 3.493 3.493 Pt
```

Calculated values
- formation energy (meV per atom) = -575
- calculated total energy (eV/atom) = -36.0517
- SG = Fm-3m, No. 225



Record 10
The following is a DFT calculation (meta-GGA SCAN) of a crystal of In2RePt relaxed with PBEsol.

Structure (POSCAR):
```
In2RePt
1.0
5.232 -1.449 0.000
5.232 1.449 0.000
-1.939 0.000 4.581
In Re Pt
2 1 1
Cartesian
0.000 0.000 0.000 In
1.137 0.000 2.727 In
7.664 0.000 0.478 Re
3.913 0.000 2.237 Pt
```

Calculated values
- formation energy (meV per atom) = 134
- offset from the most stable computed form (eV per formula unit) = 0.00
- calculated total energy (eV/atom) = -51.8821
- SG = Cm, No. 8



Record 11
The following is a DFT calculation (meta-GGA SCAN) of a crystal of NiAsSe2Br relaxed with PBEsol.

Structure (POSCAR):
```
NiAsSe2Br
1.0
4.649 0.000 0.000
0.000 4.649 0.000
0.000 0.000 4.636
Ni As Se Br
1 1 2 1
Cartesian
0.000 0.000 0.000 Ni
2.325 2.325 2.318 As
0.000 2.325 0.000 Se
2.325 0.000 0.000 Se
0.000 0.000 2.318 Br
```

Calculated values
- uncorrected formation energy (kJ per mole of atoms) = 42.46
- offset from the most stable computed form (eV per formula unit) = 0.00
- calculated total energy (eV/atom) = -18.7560
- SG = P4/mmm, No. 123



Record 12
The following is a DFT calculation (meta-GGA SCAN) of a crystal of TaMnAu2 relaxed with PBEsol.

Structure (POSCAR):
```
TaMnAu2
1.0
4.631 -1.432 0.000
4.631 1.432 0.000
-0.988 0.000 4.821
Ta Mn Au
1 1 2
Cartesian
0.000 0.000 0.000 Ta
1.701 0.000 3.609 Mn
4.265 0.000 2.479 Au
6.757 0.000 1.155 Au
```

Calculated values
- formation energy (meV per atom) = -188
- calculated total energy (eV/atom) = -55.9764
- SG = Cm, No. 8